Material: BiIrN3
Method: DFT, GGA-PBE
State: relaxed

Cell and atoms, written as extended XYZ:
```
5
Lattice="4.188 0.000 0.000 0.000 4.188 0.000 0.000 0.000 4.188" Properties=species:S:1:pos:R:3 pbc="T T T"
Bi 0.000 0.000 0.000
Ir 2.094 2.094 2.094
N 0.000 0.000 2.094
N 0.000 2.094 0.000
N 2.094 0.000 0.000
```

Summary:
formation energy without anion corrections = 2.7908 eV/atom
total magnetization = 0.000 μB/cell
volume = 14.69 Å³/atom
theoretical density = 10.017 Mg/m³
space-group type = Pm-3m